Entry 1:
VASP calculation (PBE) on a relaxed structure of Tm7PtS5.

Computed properties:
Formation energy (no corrections) ... -1.728 eV/atom
Total magnetization ... 0.00 μB per cell
Volume ... 21.5 Å³ per atom

a b c (Å): 3.812 23.129 6.609
angles (deg): 90.00 106.70 90.00
Space group P2_1/m (No. 11)
Asymmetric unit:
Tm1 0.036 0.250 0.070
Tm2 0.138 0.537 0.276
Tm3 0.306 0.178 0.612
Tm4 0.409 0.612 0.818
Pt1 0.302 0.750 0.605
S1 0.050 0.641 0.101
S2 0.225 0.070 0.449
S3 0.500 0.000 0.000

=====

Entry 2:
VASP calculation (PBE) on a relaxed structure of U3PtS6.

Computed properties:
Formation energy (no corrections) ... -1.014 eV/atom
Total magnetization ... 36.73 μB per cell
Volume ... 23.6 Å³ per atom

a b c (Å): 10.9731 10.9731 13.6004
angles (deg): 90.00 90.00 120.00
Space group R-3 (No. 148, hexagonal axes)
Asymmetric unit:
U1 0.0531 0.4418 0.3676
Pt1 0.0000 0.0000 0.0000
Pt2 0.0000 0.0000 0.5000
S1 0.0140 0.2041 0.8922
S2 0.0327 0.1879 0.3774

=====

Entry 3:
VASP calculation (PBE) on a relaxed structure of U2PtS6.

Computed properties:
Formation energy (no corrections) ... -0.896 eV/atom
Total magnetization ... 3.98 μB per cell
Volume ... 24.0 Å³ per atom

a b c (Å): 6.283 6.283 10.966
angles (deg): 90.00 90.00 90.00
Space group P4_2/mnm (No. 136)
Asymmetric unit:
U1 0.000 0.000 0.176
Pt1 0.000 0.000 0.500
S1 0.187 0.187 0.000
S2 0.198 0.198 0.349

=====

Entry 4:
VASP calculation (PBE) on a relaxed structure of U2PtS.

Computed properties:
Formation energy (no corrections) ... -0.249 eV/atom
Total magnetization ... 11.54 μB per cell
Volume ... 20.4 Å³ per atom

a b c (Å): 3.1618 3.1618 28.2906
angles (deg): 90.00 90.00 120.00
Space group R-3m (No. 166, hexagonal axes)
Asymmetric unit:
U1 0.0000 0.0000 0.0952
Pt1 0.0000 0.0000 0.0000
S1 0.0000 0.0000 0.5000

=====

Entry 5:
VASP calculation (PBE) on a relaxed structure of VPtS2.

Computed properties:
Formation energy (no corrections) ... -0.398 eV/atom
Total magnetization ... 3.95 μB per cell
Volume ... 19.2 Å³ per atom

a b c (Å): 5.338 5.338 10.775
angles (deg): 90.00 90.00 90.00
Space group I-42d (No. 122)
Asymmetric unit:
V1 0.000 0.000 0.000
Pt1 0.000 0.000 0.500
S1 0.233 0.250 0.125

=====

Entry 6:
VASP calculation (PBE) on a relaxed structure of VPtS2.

Computed properties:
Formation energy (no corrections) ... 0.080 eV/atom
Total magnetization ... 8.67 μB per cell
Volume ... 19.4 Å³ per atom

a b c (Å): 3.5161 3.5161 21.7981
angles (deg): 90.00 90.00 120.00
Space group R-3m (No. 166, hexagonal axes)
Asymmetric unit:
V1 0.0000 0.0000 0.0000
Pt1 0.0000 0.0000 0.5000
S1 0.0000 0.0000 0.1063